(1)
## K2MgIn (PBE-GGA)

Data for a relaxed structure of K2MgIn.

Cell: 6.108 6.108 6.108 Å, 60.00 60.00 60.00°
Positions (direct):
Mg: 0.000 0.000 0.000
In: 0.500 0.500 0.500
K: 0.250 0.250 0.250
K: 0.750 0.750 0.750

Results
Energy   -5.8 eV/cell
Total magnetic moment   0.00 Bohr magnetons per cell


(2)
## KMg3In (PBE-GGA)

Data for a relaxed structure of KMg3In.

Cell: 5.589 5.589 5.589 Å, 90.00 90.00 90.00°
Positions (direct):
In: 0.000 0.000 0.000
Mg: 0.000 0.000 0.500
Mg: 0.000 0.500 0.000
Mg: 0.500 0.000 0.000
K: 0.500 0.500 0.500

Results
Energy   -7.5 eV/cell
Total magnetic moment   0.00 Bohr magnetons per cell


(3)
## KMgIn6 (PBE-GGA)

Data for a relaxed structure of KMgIn6.

Cell: 5.205 5.205 8.961 Å, 90.00 90.00 90.00°
Positions (direct):
In: 0.500 0.500 0.161
In: 0.000 0.500 0.328
In: 0.500 0.000 0.672
K: 0.000 0.000 0.000
In: 0.500 0.000 0.328
In: 0.000 0.500 0.672
Mg: 0.000 0.000 0.500
In: 0.500 0.500 0.839

Results
Energy   -19.7 eV/cell
Total magnetic moment   0.00 Bohr magnetons per cell


(4)
## KMg2In2 (PBE-GGA)

Data for a relaxed structure of KMg2In2.

Cell: 4.826 4.826 8.411 Å, 90.00 90.00 118.03°
Positions (direct):
Mg: 0.831 0.169 0.500
In: 0.500 0.500 0.692
K: 0.000 0.000 0.000
In: 0.500 0.500 0.308
Mg: 0.169 0.831 0.500

Results
Energy   -9.6 eV/cell
Total magnetic moment   0.00 Bohr magnetons per cell


(5)
## K2Mg9In6 (PBE-GGA)

Data for a relaxed structure of K2Mg9In6.

Cell: 6.363 6.363 14.545 Å, 90.00 90.00 120.00°
Positions (direct):
In: 0.333 0.667 0.332
In: 0.333 0.667 0.668
Mg: 0.500 0.000 0.164
Mg: 0.000 0.500 0.164
In: 0.333 0.667 0.000
In: 0.667 0.333 0.668
In: 0.667 0.333 0.000
K: 0.000 0.000 0.667
K: 0.000 0.000 0.333
Mg: 0.500 0.000 0.500
Mg: 0.000 0.500 0.836
Mg: 0.000 0.500 0.500
Mg: 0.500 0.500 0.836
Mg: 0.500 0.500 0.164
Mg: 0.500 0.500 0.500
Mg: 0.500 0.000 0.836
In: 0.667 0.333 0.332

Results
Energy   -32.3 eV/cell
Total magnetic moment   0.00 Bohr magnetons per cell


(6)
## KMgIn3 (PBE-GGA)

Data for a relaxed structure of KMgIn3.

Cell: 5.610 5.610 5.610 Å, 90.00 90.00 90.00°
Positions (direct):
In: 0.500 0.000 0.000
K: 0.500 0.500 0.500
Mg: 0.000 0.000 0.000
In: 0.000 0.000 0.500
In: 0.000 0.500 0.000

Results
Energy   -10.2 eV/cell
Total magnetic moment   0.00 Bohr magnetons per cell


(7)
## K2MgIn (PBE-GGA)

Data for a relaxed structure of K2MgIn.

Cell: 5.113 5.102 5.817 Å, 90.00 90.00 90.00°
Positions (direct):
K: 0.500 0.500 0.000
Mg: 0.500 0.000 0.500
In: 0.000 0.500 0.500
K: 0.000 0.000 0.000

Results
Energy   -5.9 eV/cell
Total magnetic moment   0.00 Bohr magnetons per cell


(8)
## KMg2In6 (PBE-GGA)

Data for a relaxed structure of KMg2In6.

Cell: 4.087 8.652 8.631 Å, 120.08 103.70 90.00°
Positions (direct):
In: 0.314 0.491 0.628
Mg: 0.126 0.126 0.252
K: 0.000 0.500 0.000
In: 0.686 0.509 0.372
In: 0.500 0.830 0.000
In: 0.314 0.137 0.628
In: 0.500 0.170 0.000
Mg: 0.874 0.874 0.748
In: 0.686 0.863 0.372

Results
Energy   -21.0 eV/cell
Total magnetic moment   0.00 Bohr magnetons per cell


The records above give, respectively, V values of 40.28, 34.93, 30.34, 34.58, 30.00, 35.32, 37.94, 28.22 Å³ per atom.
The records above give, respectively, energy of formation from the pure elements values of 0.19, 0.22, -0.07, 0.03, 0.04, 0.14, 0.16, -0.04 eV/atom.